Entry 1:
VASP calculation (SCAN) on Si2RhBr at its PBEsol-relaxed geometry.

Lattice parameters (Å, degrees): 4.072 4.072 4.803 115.08 115.08 90.00
Sites, in units of the cell vectors:
Rh 0.000 0.000 0.000
Si 0.750 0.250 0.500
Br 0.500 0.500 0.000
Si 0.250 0.750 0.500

Summary:
The energy above the most stable polymorph in this dataset comes out at 0.6939 eV per atom. As for the uncorrected formation energy: 0.74 eV/atom. Its energy is -17.5785 eV/atom.

---

Entry 2:
VASP calculation (SCAN) on RbAsRhBr2 at its PBEsol-relaxed geometry.

Lattice parameters (Å, degrees): 4.581 5.388 5.388 90.00 90.00 90.00
Sites, in units of the cell vectors:
Rh 0.000 0.000 0.000
Rb 0.500 0.500 0.500
As 0.500 0.000 0.000
Br 0.000 0.000 0.500
Br 0.000 0.500 0.000

Summary:
As for the uncorrected formation energy: -0.60 eV/atom. Its energy is -23.3277 eV/atom.

---

Entry 3:
VASP calculation (SCAN) on ZrBePb2 at its PBEsol-relaxed geometry.

Lattice parameters (Å, degrees): 4.151 4.151 5.668 111.48 111.48 90.00
Sites, in units of the cell vectors:
Be 0.250 0.750 0.500
Pb 0.750 0.250 0.500
Pb 0.000 0.000 0.000
Zr 0.500 0.500 0.000

Summary:
Its energy of formation from the pure elements is 115.7 meV per atom. Its energy is -46.5380 eV/atom.

---

Entry 4:
VASP calculation (SCAN) on K3SrZn at its PBEsol-relaxed geometry.

Lattice parameters (Å, degrees): 6.539 6.539 6.539 90.00 90.00 90.00
Sites, in units of the cell vectors:
Zn 0.000 0.000 0.000
Sr 0.500 0.500 0.500
K 0.500 0.000 0.000
K 0.000 0.000 0.500
K 0.000 0.500 0.000

Summary:
Its energy of formation from the pure elements is 228.5 meV per atom. Its energy is -11.9268 eV/atom.

---

Entry 5:
VASP calculation (SCAN) on SmMgB5O10 at its PBEsol-relaxed geometry.

Lattice parameters (Å, degrees): 7.599 8.616 9.394 86.85 90.00 90.00
Sites, in units of the cell vectors:
O 0.649 0.502 0.073
B 0.921 0.584 0.762
O 0.652 0.182 0.371
Mg 0.910 0.103 0.374
B 0.402 0.845 0.000
O 0.215 0.533 0.264
O 0.851 0.002 0.573
O 0.871 0.315 0.008
O 0.351 0.498 0.927
O 0.586 0.992 0.692
O 0.396 0.674 0.414
O 0.086 0.508 0.808
B 0.098 0.345 0.500
B 0.421 0.916 0.738
B 0.079 0.416 0.238
B 0.811 0.433 0.087
B 0.189 0.567 0.913
B 0.328 0.517 0.392
Mg 0.410 0.397 0.126
B 0.689 0.933 0.587
B 0.531 0.278 0.447
Mg 0.090 0.897 0.626
B 0.172 0.017 0.892
B 0.469 0.722 0.553
B 0.828 0.983 0.108
O 0.774 0.541 0.484
B 0.579 0.084 0.262
O 0.455 0.763 0.119
O 0.285 0.033 0.764
Sm 0.313 0.316 0.736
Sm 0.187 0.816 0.236
O 0.104 0.174 0.914
O 0.629 0.815 0.508
B 0.902 0.655 0.500
O 0.414 0.008 0.308
O 0.474 0.414 0.353
O 0.371 0.185 0.492
O 0.785 0.467 0.736
O 0.149 0.998 0.427
O 0.226 0.459 0.516
O 0.955 0.737 0.381
O 0.848 0.682 0.871
O 0.465 0.816 0.867
O 0.726 0.041 0.984
B 0.672 0.483 0.608
Mg 0.590 0.603 0.874
O 0.045 0.263 0.619
B 0.969 0.778 0.947
Sm 0.813 0.184 0.764
O 0.348 0.818 0.629
Sm 0.687 0.684 0.264
B 0.598 0.155 0.000
O 0.026 0.914 0.853
O 0.545 0.237 0.881
O 0.914 0.492 0.192
O 0.274 0.959 0.016
B 0.031 0.222 0.053
O 0.152 0.318 0.129
O 0.526 0.586 0.647
O 0.896 0.826 0.086
O 0.965 0.684 0.633
O 0.604 0.326 0.586
O 0.535 0.184 0.133
B 0.311 0.067 0.413
O 0.035 0.316 0.367
O 0.974 0.086 0.147
O 0.129 0.685 0.992
O 0.715 0.967 0.236

Summary:
As for the uncorrected formation energy: -2.95 eV/atom. Its energy is -11.7084 eV/atom.

---

Entry 6:
VASP calculation (SCAN) on CoTcO2 at its PBEsol-relaxed geometry.

Lattice parameters (Å, degrees): 2.732 2.732 6.250 77.37 77.37 60.00
Sites, in units of the cell vectors:
Co 0.500 0.500 0.500
O 0.110 0.110 0.671
O 0.890 0.890 0.329
Tc 0.000 0.000 0.000

Summary:
As for the uncorrected formation energy: -1.06 eV/atom. Its energy is -17.2701 eV/atom.

---

Entry 7:
VASP calculation (SCAN) on IrRh2Br2 at its PBEsol-relaxed geometry.

Lattice parameters (Å, degrees): 3.434 3.434 7.918 102.52 102.52 90.00
Site moments in Bohr magnetons follow the coordinates.
Sites, in units of the cell vectors:
Rh 0.250 0.750 0.500  0.69
Ir 0.000 0.000 0.000  -0.99
Br 0.397 0.397 0.794  -0.06
Br 0.603 0.603 0.206  -0.06
Rh 0.750 0.250 0.500  0.69

Summary:
As for the uncorrected formation energy: 1.29 eV/atom. Its energy is -34.2232 eV/atom.

---

Entry 8:
VASP calculation (SCAN) on BaCrSb2 at its PBEsol-relaxed geometry.

Lattice parameters (Å, degrees): 4.644 4.895 4.895 90.00 90.00 90.00
Site moments in Bohr magnetons follow the coordinates.
Sites, in units of the cell vectors:
Sb 0.000 0.000 0.500  -0.07
Cr 0.500 0.000 0.000  4.22
Sb 0.000 0.500 0.000  -0.07
Ba 0.500 0.500 0.500  0.06

Summary:
As for the uncorrected formation energy: -0.21 eV/atom. Its energy is -33.3227 eV/atom.

---

Entry 9:
VASP calculation (SCAN) on Zr2CuAu at its PBEsol-relaxed geometry.

Lattice parameters (Å, degrees): 3.014 4.979 4.979 107.47 90.00 90.00
Sites, in units of the cell vectors:
Zr 0.000 0.500 0.000
Zr 0.000 0.000 0.500
Au 0.500 0.000 0.000
Cu 0.500 0.500 0.500

Summary:
Its energy of formation from the pure elements is -388.6 meV per atom. Its energy is -36.8270 eV/atom.

---

Entry 10:
VASP calculation (SCAN) on Ca2ZnAu at its PBEsol-relaxed geometry.

Lattice parameters (Å, degrees): 4.102 4.392 5.871 90.00 110.45 90.00
Sites, in units of the cell vectors:
Ca 0.104 0.000 0.207
Zn 0.814 0.000 0.628
Au 0.679 0.500 0.358
Ca 0.392 0.500 0.784

Summary:
Its energy of formation from the pure elements is -660.1 meV per atom. Its energy is -26.1598 eV/atom.

---

Entry 11:
VASP calculation (SCAN) on K3Nb2Se11 at its PBEsol-relaxed geometry.

Lattice parameters (Å, degrees): 7.913 8.971 25.339 90.00 98.70 90.00
Sites, in units of the cell vectors:
Se 0.396 0.662 0.911
K 0.210 0.761 0.015
Se 0.104 0.162 0.589
Se 0.549 0.022 0.122
Nb 0.715 0.826 0.922
Se 0.342 0.926 0.396
Se 0.158 0.426 0.104
Se 0.930 0.103 0.412
K 0.590 0.236 0.330
K 0.710 0.739 0.515
Se 0.316 0.884 0.488
K 0.066 0.800 0.817
Nb 0.494 0.459 0.169
Se 0.165 0.202 0.308
Se 0.070 0.897 0.588
Se 0.451 0.978 0.878
Se 0.410 0.173 0.181
Se 0.570 0.603 0.088
Se 0.949 0.989 0.915
Se 0.684 0.116 0.512
Se 0.264 0.537 0.762
K 0.434 0.300 0.683
Se 0.551 0.489 0.585
Se 0.090 0.673 0.319
Se 0.335 0.702 0.192
Se 0.658 0.074 0.604
Se 0.665 0.298 0.808
K 0.566 0.700 0.317
Se 0.736 0.463 0.238
Se 0.896 0.838 0.411
Se 0.742 0.029 0.725
Se 0.758 0.529 0.775
Se 0.236 0.037 0.738
Se 0.449 0.511 0.415
Se 0.842 0.574 0.896
Se 0.764 0.963 0.262
Se 0.604 0.338 0.089
K 0.934 0.200 0.183
Se 0.835 0.798 0.692
Se 0.590 0.827 0.819
K 0.290 0.261 0.485
Se 0.242 0.471 0.225
Se 0.382 0.084 0.989
Nb 0.785 0.326 0.578
Se 0.882 0.416 0.489
Nb 0.215 0.674 0.422
Se 0.951 0.522 0.378
Nb 0.006 0.959 0.331
K 0.410 0.764 0.670
K 0.090 0.264 0.830
Se 0.049 0.478 0.622
K 0.790 0.239 0.985
Nb 0.994 0.041 0.669
Se 0.618 0.916 0.011
Se 0.118 0.584 0.511
Nb 0.506 0.541 0.831
Se 0.816 0.616 0.988
K 0.910 0.736 0.170
Se 0.051 0.011 0.085
Nb 0.285 0.174 0.078
Se 0.258 0.971 0.275
Se 0.430 0.397 0.912
Se 0.184 0.384 0.012
Se 0.910 0.327 0.681

Summary:
As for the uncorrected formation energy: -0.86 eV/atom. Its energy is -20.3705 eV/atom.

---

Entry 12:
VASP calculation (SCAN) on AgW2Br at its PBEsol-relaxed geometry.

Lattice parameters (Å, degrees): 2.916 2.916 9.183 90.00 90.00 113.85
Sites, in units of the cell vectors:
W 0.000 0.000 0.983
Ag 0.000 0.000 0.516
Br 0.500 0.500 0.233
W 0.500 0.500 0.769

Summary:
The energy above the most stable polymorph in this dataset comes out at 0.0000 eV per atom. As for the uncorrected formation energy: 0.65 eV/atom. Its energy is -46.9003 eV/atom.